Here is a geometry-optimized FeNiGePd structure from OQMD via LeMat-Bulk. Energies are from PBE.

Results
Calculated density in g/cm³: 9.24
Magnetization in μB/f.u.: 2.75
Volume in Å³/f.u.: 52.8
E in eV/atom: -6.034

Cell lengths 4.2106, 4.2106, 4.2106 Å; angles 60.00, 60.00, 60.00 degrees
Fractional coordinates of all 4 atoms:
Fe (0.0000, 0.0000, 0.0000)
Ni (0.5000, 0.5000, 0.5000)
Ge (0.7500, 0.7500, 0.7500)
Pd (0.2500, 0.2500, 0.2500)